First-principles (PBE) data for a relaxed B2PO crystal, as listed in Alexandria via LeMat-Bulk.

Results
DFT total energy (eV per atom): -6.078
DOS at the Fermi energy (states/eV per cell): 4.27
Space-group type: I-42d
Energy above the lowest structure with this stoichiometry (eV/f.u.): 0.00
Formation energy from raw total energies (eV per atom): -0.15

a = 5.269 Å, b = 5.269 Å, c = 5.269 Å
α = 133.99°, β = 133.99°, γ = 67.10°
Atoms (fractional coordinates):
1 B 0.087 0.625 0.962
2 B 0.375 0.337 0.462
3 B 0.663 0.125 0.038
4 B 0.875 0.913 0.538
5 P 0.250 0.750 0.500
6 P 0.500 0.500 0.000
7 O 0.000 0.000 0.000
8 O 0.750 0.250 0.500